DFT (GGA-PBE) results for a geometry-optimized Lu2Cl structure.

Lattice parameters (Å, degrees): 9.149 9.149 9.149 90.00 90.00 90.00
Space group Fd-3m (No. 227, origin choice 2)
Inequivalent atoms, fractional coordinates:
Lu1 0.000 0.000 0.000 x16
Cl1 0.125 0.125 0.625 x8

Output
- spin magnetization (μB/atom) = 0.00
- DFT total energy (eV per cell) = -82.7

DFT (GGA-PBE) results for a geometry-optimized DySc3P structure.

Lattice parameters (Å, degrees): 7.123 7.123 10.078 90.00 90.00 90.00
Space group I4/mcm (No. 140)
Inequivalent atoms, fractional coordinates:
Dy1 0.000 0.500 0.250 x4
Sc1 0.000 0.000 0.250 x4
Sc2 0.244 0.256 0.000 x8
P1 0.000 0.000 0.000 x4

Output
- spin magnetization (μB/atom) = 0.43
- DFT total energy (eV per cell) = -124.2

DFT (GGA-PBE) results for a geometry-optimized MgCoSn2 structure.

Lattice parameters (Å, degrees): 6.852 6.852 6.852 90.00 90.00 90.00
Space group F-43m (No. 216)
Inequivalent atoms, fractional coordinates:
Mg1 0.000 0.000 0.000 x4
Co1 0.250 0.250 0.250 x4
Sn1 0.000 0.000 0.500 x4
Sn2 0.250 0.250 0.750 x4

Output
- spin magnetization (μB/atom) = 0.00
- DFT total energy (eV per cell) = -61.1

DFT (GGA-PBE) results for a geometry-optimized Zn structure.

Lattice parameters (Å, degrees): 10.872 7.618 5.156 90.00 101.23 90.00
Space group C2/m (No. 12)
Inequivalent atoms, fractional coordinates:
Zn1 0.000 0.000 0.000 x2
Zn2 0.000 0.000 0.500 x2
Zn3 0.084 0.307 0.323 x8
Zn4 0.109 0.500 0.918 x4
Zn5 0.177 0.181 0.805 x8
Zn6 0.224 0.000 0.363 x4

Output
- energy of formation (eV/atom) = 0.051
- DFT total energy (eV per cell) = -34.0

DFT (GGA-PBE) results for a geometry-optimized PuUSn structure.

Lattice parameters (Å, degrees): 6.997 6.997 6.997 90.00 90.00 90.00
Space group F-43m (No. 216)
Inequivalent atoms, fractional coordinates:
Pu1 0.000 0.000 0.000 x4
U1 0.250 0.250 0.250 x4
Sn1 0.250 0.250 0.750 x4

Output
- spin magnetization (μB/atom) = 3.25
- DFT total energy (eV per cell) = -114.0

DFT (GGA-PBE) results for a geometry-optimized SiW4C3 structure.

Lattice parameters (Å, degrees): 3.0994 3.0994 22.6340 90.00 90.00 120.00
Space group P6_3/mmc (No. 194)
Inequivalent atoms, fractional coordinates:
Si1 0.3333 0.6667 0.2500 x2
W1 0.0000 0.0000 0.1642 x4
W2 0.3333 0.6667 0.0572 x4
C1 0.0000 0.0000 0.0000 x2
C2 0.3333 0.6667 0.6134 x4

Output
- spin magnetization (μB/atom) = 0.00
- DFT total energy (eV per cell) = -166.2